The following is a PBE calculation of a relaxed AlPdCO crystal, from OQMD.

The calculation puts the total energy at -5.901 eV per atom.

The space group is R-3m (No. 166, hexagonal axes) and the conventional cell measures 3.2762, 3.2762 and 29.5234 Å, with angles of 90.00, 90.00 and 120.00 degrees. The distinct sites, in fractional coordinates, are Al at (0.0000, 0.0000, 0.2371), Pd at (0.0000, 0.0000, 0.0000), Pd at (0.0000, 0.0000, 0.5000), C at (0.0000, 0.0000, 0.1213) and O at (0.0000, 0.0000, 0.2982).

---

The following is a PBE calculation of a relaxed Al6OsC crystal, from OQMD.

As for the total moment: 0.0 μB/cell. The calculation puts the total energy at -5.252 eV per atom.

The space group is F-43m (No. 216) and the conventional cell measures 7.862, 7.862 and 7.862 Å, with angles of 90.00, 90.00 and 90.00 degrees. The distinct sites, in fractional coordinates, are Al at (0.000, 0.000, 0.243), Os at (0.250, 0.250, 0.250) and C at (0.000, 0.000, 0.500).